# NaLi4Cd3 PBE optimized geometry
data_NaLi4Cd3
_chemical_formula_sum 'Na2 Li8 Cd6'
_space_group_name_H-M_alt 'P m m a'
_space_group_IT_number 51
_space_group_name_Hall '-P 2a 2a'
_cell_length_a 9.897
_cell_length_b 6.327
_cell_length_c 5.136
_cell_angle_alpha 90.00
_cell_angle_beta 90.00
_cell_angle_gamma 90.00
loop_
_atom_site_label
_atom_site_type_symbol
_atom_site_fract_x
_atom_site_fract_y
_atom_site_fract_z
Na1 Na 0.000 0.000 0.000
Li1 Li 0.000 0.270 0.500
Li2 Li 0.250 0.271 0.108
Cd1 Cd 0.000 0.500 0.000
Cd2 Cd 0.250 0.000 0.564
Cd3 Cd 0.250 0.500 0.613
# - Formation energy from the elements: -1.3 eV per formula unit
# - Total magnetic moment: 0.000 μB/atom
# - N(E_F): 2.556 states/eV/f.u.



# Pm3Sm3Tl2Ga PBE optimized geometry
data_Pm3Sm3Tl2Ga
_chemical_formula_sum 'Pm3 Sm3 Tl2 Ga1'
_space_group_name_H-M_alt 'P -6 2 m'
_space_group_IT_number 189
_space_group_name_Hall 'P -6 -2'
_cell_length_a 8.9959
_cell_length_b 8.9959
_cell_length_c 3.8344
_cell_angle_alpha 90.00
_cell_angle_beta 90.00
_cell_angle_gamma 120.00
loop_
_atom_site_label
_atom_site_type_symbol
_atom_site_fract_x
_atom_site_fract_y
_atom_site_fract_z
Pm1 Pm 0.0000 0.7312 0.0000
Sm1 Sm 0.0000 0.3888 0.5000
Tl1 Tl 0.3333 0.6667 0.0000
Ga1 Ga 0.0000 0.0000 0.5000
# - Formation energy from the elements: -2.7 eV per formula unit
# - Total magnetic moment: 0.000 μB/atom
# - N(E_F): 10.586 states/eV/f.u.



# BeCrSi3 PBE optimized geometry
data_BeCrSi3
_chemical_formula_sum 'Be1 Cr1 Si3'
_space_group_name_H-M_alt 'P m -3 m'
_space_group_IT_number 221
_space_group_name_Hall '-P 4 2 3'
_cell_length_a 4.457
_cell_length_b 4.457
_cell_length_c 4.457
_cell_angle_alpha 90.00
_cell_angle_beta 90.00
_cell_angle_gamma 90.00
loop_
_atom_site_label
_atom_site_type_symbol
_atom_site_fract_x
_atom_site_fract_y
_atom_site_fract_z
Be1 Be 0.000 0.000 0.000
Cr1 Cr 0.500 0.500 0.500
Si1 Si 0.000 0.500 0.500
# - ΔE_f (raw): 0.76 eV/atom
# - Energy above the lowest structure with this stoichiometry: 0.000 eV/atom
# - Total magnetic moment: 0.000 μB/atom
# - N(E_F): 0.169 states/eV/f.u.



# Zn7SnAu4 PBE optimized geometry
data_Zn7SnAu4
_chemical_formula_sum 'Zn14 Sn2 Au8'
_space_group_name_H-M_alt 'C 1 2/m 1'
_space_group_IT_number 12
_space_group_name_Hall '-C 2y'
_cell_length_a 10.284
_cell_length_b 5.215
_cell_length_c 9.633
_cell_angle_alpha 90.00
_cell_angle_beta 121.58
_cell_angle_gamma 90.00
loop_
_atom_site_label
_atom_site_type_symbol
_atom_site_fract_x
_atom_site_fract_y
_atom_site_fract_z
Zn1 Zn 0.000 0.000 0.000
Zn2 Zn 0.112 0.500 0.450
Zn3 Zn 0.158 0.000 0.630
Zn4 Zn 0.197 0.000 0.914
Sn1 Sn 0.000 0.500 0.000
Au1 Au 0.090 0.000 0.329
Au2 Au 0.181 0.500 0.767
# - Formation energy from the elements: -0.3 eV per formula unit
# - Total magnetic moment: 0.000 μB/atom
# - N(E_F): 4.428 states/eV/f.u.



# Pm3Nd2P4 PBE optimized geometry
data_Pm3Nd2P4
_chemical_formula_sum 'Pm6 Nd4 P8'
_space_group_name_H-M_alt 'C 1 2/m 1'
_space_group_IT_number 12
_space_group_name_Hall '-C 2y'
_cell_length_a 13.653
_cell_length_b 4.118
_cell_length_c 10.106
_cell_angle_alpha 90.00
_cell_angle_beta 119.53
_cell_angle_gamma 90.00
loop_
_atom_site_label
_atom_site_type_symbol
_atom_site_fract_x
_atom_site_fract_y
_atom_site_fract_z
Pm1 Pm 0.000 0.000 0.000
Pm2 Pm 0.204 0.000 0.809
Nd1 Nd 0.103 0.500 0.393
P1 P 0.101 0.500 0.899
P2 P 0.202 0.000 0.303
# - Formation energy from the elements: -12.5 eV per formula unit
# - Total magnetic moment: 0.025 μB/atom
# - N(E_F): 5.288 states/eV/f.u.



# Tb2Nd3YS6 PBE optimized geometry
data_Tb2Nd3YS6
_chemical_formula_sum 'Tb4 Nd6 Y2 S12'
_space_group_name_H-M_alt 'C 1 2/m 1'
_space_group_IT_number 12
_space_group_name_Hall '-C 2y'
_cell_length_a 6.880
_cell_length_b 11.957
_cell_length_c 6.975
_cell_angle_alpha 90.00
_cell_angle_beta 109.25
_cell_angle_gamma 90.00
loop_
_atom_site_label
_atom_site_type_symbol
_atom_site_fract_x
_atom_site_fract_y
_atom_site_fract_z
Tb1 Tb 0.000 0.167 0.000
Nd1 Nd 0.000 0.000 0.500
Nd2 Nd 0.000 0.333 0.500
Y1 Y 0.000 0.500 0.000
S1 S 0.245 0.334 0.236
S2 S 0.246 0.000 0.237
# - ΔE_f (raw): -2.02 eV/atom
# - Total magnetic moment: 0.000 μB/atom
# - N(E_F): 5.437 states/eV/f.u.



# LaGaP2 PBE optimized geometry
data_LaGaP2
_chemical_formula_sum 'La3 Ga3 P6'
_space_group_name_H-M_alt 'R -3 m'
_space_group_IT_number 166
_space_group_name_Hall '-R 3 2"'
_cell_length_a 4.6414
_cell_length_b 4.6414
_cell_length_c 21.1430
_cell_angle_alpha 90.00
_cell_angle_beta 90.00
_cell_angle_gamma 120.00
loop_
_atom_site_label
_atom_site_type_symbol
_atom_site_fract_x
_atom_site_fract_y
_atom_site_fract_z
La1 La 0.0000 0.0000 0.0000
Ga1 Ga 0.0000 0.0000 0.5000
P1 P 0.0000 0.0000 0.3973
# - Formation energy from the elements: -2.2 eV per formula unit
# - Total magnetic moment: 0.000 μB/atom



# B3W5 PBE optimized geometry
data_B3W5
_chemical_formula_sum 'B12 W20'
_space_group_name_H-M_alt 'I 4/m c m'
_space_group_IT_number 140
_space_group_name_Hall '-I 4 2c'
_cell_length_a 5.925
_cell_length_b 5.925
_cell_length_c 11.012
_cell_angle_alpha 90.00
_cell_angle_beta 90.00
_cell_angle_gamma 90.00
loop_
_atom_site_label
_atom_site_type_symbol
_atom_site_fract_x
_atom_site_fract_y
_atom_site_fract_z
B1 B 0.000 0.000 0.250
B2 B 0.120 0.380 0.000
W1 W 0.000 0.000 0.000
W2 W 0.167 0.333 0.354
# - Formation energy from the elements: -1.9 eV per formula unit
# - Total magnetic moment: 0.000 μB/atom
# - N(E_F): 5.819 states/eV/f.u.



# Ac2PbSO8 PBE optimized geometry
data_Ac2PbSO8
_chemical_formula_sum 'Ac2 Pb1 S1 O8'
_space_group_name_H-M_alt 'P -3 m 1'
_space_group_IT_number 164
_space_group_name_Hall '-P 3 2"'
_cell_length_a 5.3374
_cell_length_b 5.3374
_cell_length_c 7.1505
_cell_angle_alpha 90.00
_cell_angle_beta 90.00
_cell_angle_gamma 120.00
loop_
_atom_site_label
_atom_site_type_symbol
_atom_site_fract_x
_atom_site_fract_y
_atom_site_fract_z
Ac1 Ac 0.3333 0.6667 0.3359
Pb1 Pb 0.0000 0.0000 0.0000
S1 S 0.0000 0.0000 0.5000
O1 O 0.1487 0.2975 0.6360
O2 O 0.3333 0.6667 0.0021
# - ΔE_f (raw): -1.68 eV/atom
# - Total magnetic moment: 0.171 μB/atom
# - N(E_F): 8.814 states/eV/f.u.



# K2LaSc PBE optimized geometry
data_K2LaSc
_chemical_formula_sum 'K2 La1 Sc1'
_space_group_name_H-M_alt 'P 1 2/m 1'
_space_group_IT_number 10
_space_group_name_Hall '-P 2y'
_cell_length_a 3.628
_cell_length_b 7.107
_cell_length_c 6.320
_cell_angle_alpha 90.00
_cell_angle_beta 92.73
_cell_angle_gamma 90.00
loop_
_atom_site_label
_atom_site_type_symbol
_atom_site_fract_x
_atom_site_fract_y
_atom_site_fract_z
K1 K 0.247 0.000 0.259
La1 La 0.500 0.500 0.000
Sc1 Sc 0.000 0.500 0.500
# - Formation energy from the elements: 2.1 eV per formula unit
# - Energy above the lowest structure with this stoichiometry: 0.226 eV/atom
# - Total magnetic moment: 0.027 μB/atom
# - N(E_F): 6.225 states/eV/f.u.



# TbNd2Ga3 PBE optimized geometry
data_TbNd2Ga3
_chemical_formula_sum 'Tb2 Nd4 Ga6'
_space_group_name_H-M_alt 'P -3 m 1'
_space_group_IT_number 164
_space_group_name_Hall '-P 3 2"'
_cell_length_a 5.1698
_cell_length_b 5.1698
_cell_length_c 12.7218
_cell_angle_alpha 90.00
_cell_angle_beta 90.00
_cell_angle_gamma 120.00
loop_
_atom_site_label
_atom_site_type_symbol
_atom_site_fract_x
_atom_site_fract_y
_atom_site_fract_z
Tb1 Tb 0.3333 0.6667 0.1665
Nd1 Nd 0.0000 0.0000 0.0000
Nd2 Nd 0.0000 0.0000 0.5000
Nd3 Nd 0.3333 0.6667 0.6700
Ga1 Ga 0.0000 0.0000 0.2470
Ga2 Ga 0.3333 0.6667 0.4150
Ga3 Ga 0.3333 0.6667 0.9182
# - Formation energy from the elements: -3.4 eV per formula unit
# - Energy above the lowest structure with this stoichiometry: 0.000 eV/atom
# - Total magnetic moment: 0.000 μB/atom
# - N(E_F): 2.580 states/eV/f.u.



# TbEuEr PBE optimized geometry
data_TbEuEr
_chemical_formula_sum 'Tb2 Eu2 Er2'
_space_group_name_H-M_alt 'I 4 m m'
_space_group_IT_number 107
_space_group_name_Hall 'I 4 -2'
_cell_length_a 3.632
_cell_length_b 3.632
_cell_length_c 15.435
_cell_angle_alpha 90.00
_cell_angle_beta 90.00
_cell_angle_gamma 90.00
loop_
_atom_site_label
_atom_site_type_symbol
_atom_site_fract_x
_atom_site_fract_y
_atom_site_fract_z
Tb1 Tb 0.000 0.000 0.000
Eu1 Eu 0.000 0.000 0.324
Er1 Er 0.000 0.000 0.650
# - Formation energy from the elements: 0.2 eV per formula unit
# - Total magnetic moment: 2.378 μB/atom
# - N(E_F): 3.906 states/eV/f.u.



> Which value of total magnetic moment does entry 8 give?

0.000 μB/atom



What did the ninth record say?
# Ac2PbSO8 PBE optimized geometry
data_Ac2PbSO8
_chemical_formula_sum 'Ac2 Pb1 S1 O8'
_space_group_name_H-M_alt 'P -3 m 1'
_space_group_IT_number 164
_space_group_name_Hall '-P 3 2"'
_cell_length_a 5.3374
_cell_length_b 5.3374
_cell_length_c 7.1505
_cell_angle_alpha 90.00
_cell_angle_beta 90.00
_cell_angle_gamma 120.00
loop_
_atom_site_label
_atom_site_type_symbol
_atom_site_fract_x
_atom_site_fract_y
_atom_site_fract_z
Ac1 Ac 0.3333 0.6667 0.3359
Pb1 Pb 0.0000 0.0000 0.0000
S1 S 0.0000 0.0000 0.5000
O1 O 0.1487 0.2975 0.6360
O2 O 0.3333 0.6667 0.0021
# - ΔE_f (raw): -1.68 eV/atom
# - Total magnetic moment: 0.171 μB/atom
# - N(E_F): 8.814 states/eV/f.u.